(1)
DFT (PBE-GGA) results for a relaxed Ca2Sn2Hg crystal.

a b c (Å): 7.8543 7.8543 4.7074
angles (deg): 90.00 90.00 90.00
Fractional positions:
Sn (0.1326, 0.3674, 0.0000)
Ca (0.3308, 0.1692, 0.5000)
Hg (0.0000, 0.0000, 0.0000)
Ca (0.8308, 0.3308, 0.5000)
Sn (0.3674, 0.8674, 0.0000)
Ca (0.6692, 0.8308, 0.5000)
Hg (0.5000, 0.5000, 0.0000)
Sn (0.8674, 0.6326, 0.0000)
Sn (0.6326, 0.1326, 0.0000)
Ca (0.1692, 0.6692, 0.5000)

Results
The value obtained for the formation energy is -2.43 eV per formula unit. Its total energy is -2.95 eV per atom. As for the crystal system: tetragonal. The space group is P4/mbm, No. 127.

---

(2)
DFT (PBE-GGA) results for a relaxed HoNpCr2S6 crystal.

a b c (Å): 6.5050 6.5050 6.8526
angles (deg): 61.66 61.66 60.01
Fractional positions:
S (0.2461, 0.8714, 0.2406)
S (0.3708, 0.7463, 0.7403)
Ho (0.8109, 0.8109, 0.5674)
S (0.1426, 0.3708, 0.7404)
S (0.8715, 0.6418, 0.2407)
S (0.7462, 0.1426, 0.7404)
S (0.6419, 0.2461, 0.2406)
Np (0.3132, 0.3132, 0.0605)
Cr (0.0085, 0.0085, 0.9744)
Cr (0.5100, 0.5100, 0.4699)

Results
The value obtained for the raw formation energy is -1.130 eV/atom. Its total energy is -7.28 eV per atom. As for the crystal system: trigonal. The space group is R3, No. 146.

---

(3)
DFT (PBE-GGA) results for a relaxed GeAs2Pb2 crystal.

a b c (Å): 7.8195 7.8195 4.2218
angles (deg): 90.00 90.00 90.00
Fractional positions:
Ge (0.0000, 0.0000, 0.0000)
Ge (0.5000, 0.5000, 0.0000)
Pb (0.3493, 0.1507, 0.5000)
Pb (0.6507, 0.8493, 0.5000)
Pb (0.1507, 0.6507, 0.5000)
As (0.3342, 0.8342, 0.0000)
As (0.8342, 0.6658, 0.0000)
As (0.6658, 0.1658, 0.0000)
Pb (0.8493, 0.3493, 0.5000)
As (0.1658, 0.3342, 0.0000)

Results
The value obtained for the formation energy is 0.93 eV per formula unit. Its total energy is -4.08 eV per atom. As for the crystal system: tetragonal. The space group is P4/mbm, No. 127.

---

(4)
DFT (PBE-GGA) results for a relaxed AgSF crystal.

a b c (Å): 4.3215 4.4982 6.1771
angles (deg): 85.76 86.16 114.59
Fractional positions:
Ag (0.5764, 0.3438, 0.5060)
Ag (0.2472, 0.6444, 0.0459)
F (0.6367, 0.3817, 0.1325)
S (0.6897, 0.8903, 0.7181)
F (0.1855, 0.6060, 0.4191)
S (0.1333, 0.0967, 0.8333)

Results
The value obtained for the raw formation energy is -0.640 eV/atom. Its total energy is -3.59 eV per atom. As for the crystal system: triclinic. The space group is P-1, No. 2.

---

(5)
DFT (PBE-GGA) results for a relaxed TaNi2P crystal.

a b c (Å): 7.9056 7.9056 7.9056
angles (deg): 20.69 20.69 20.69
Fractional positions:
P (0.5095, 0.5095, 0.5095)
Ni (0.9953, 0.9953, 0.9953)
Ni (0.2438, 0.2438, 0.2438)
Ta (0.7515, 0.7515, 0.7515)

Results
The value obtained for the formation energy is -0.04 eV per formula unit. Its total energy is -7.22 eV per atom. As for the crystal system: trigonal. The space group is R3m, No. 160.

---

(6)
DFT (PBE-GGA) results for a relaxed Mg7Ag6 crystal.

a b c (Å): 10.0123 10.0123 10.0123
angles (deg): 32.63 32.63 32.63
Fractional positions:
Mg (0.9205, 0.4147, 0.4147)
Ag (0.3331, 0.3331, 0.3331)
Mg (0.0795, 0.5853, 0.5853)
Mg (0.5000, 0.5000, 0.5000)
Ag (0.6669, 0.6669, 0.6669)
Mg (0.4147, 0.9205, 0.4147)
Mg (0.5853, 0.5853, 0.0795)
Ag (0.0493, 0.0493, 0.0493)
Ag (0.9507, 0.9507, 0.9507)
Mg (0.4147, 0.4147, 0.9205)
Ag (0.8451, 0.8451, 0.8451)
Mg (0.5853, 0.0795, 0.5853)
Ag (0.1549, 0.1549, 0.1549)

Results
The value obtained for the formation energy is 0.34 eV per formula unit. Its total energy is -2.15 eV per atom. As for the crystal system: trigonal. The space group is R-3m, No. 166.

---

(7)
DFT (PBE-GGA) results for a relaxed ScMo crystal.

a b c (Å): 4.7405 4.7405 5.2681
angles (deg): 90.00 90.00 120.00
Fractional positions:
Sc (0.3333, 0.6667, 0.2500)
Mo (0.3333, 0.6667, 0.7500)
Sc (0.6667, 0.3333, 0.7500)
Mo (0.6667, 0.3333, 0.2500)

Results
The value obtained for the formation energy is 3.54 eV per formula unit. Its total energy is -6.81 eV per atom. As for the crystal system: hexagonal. The space group is P6_3/mmc, No. 194.

---

(8)
DFT (PBE-GGA) results for a relaxed PmMg2Bi2 crystal.

a b c (Å): 4.5238 4.5465 13.7648
angles (deg): 90.00 99.46 90.00
Fractional positions:
Mg (0.4597, 0.7500, 0.9194)
Mg (0.9579, 0.2500, 0.9159)
Bi (0.1217, 0.2500, 0.2434)
Mg (0.5403, 0.2500, 0.0806)
Mg (0.0421, 0.7500, 0.0841)
Pm (0.6567, 0.7500, 0.3133)
Pm (0.3433, 0.2500, 0.6867)
Bi (0.2502, 0.7500, 0.5003)
Bi (0.7498, 0.2500, 0.4997)
Bi (0.8783, 0.7500, 0.7566)

Results
The value obtained for the formation energy is -2.15 eV per formula unit. Its total energy is -3.57 eV per atom. As for the crystal system: orthorhombic. The space group is Cmcm, No. 63.

---

Number 7 is which compound? ScMo